Tl2CF | the Alexandria database | PBEsol | relaxed; electronic total energy = -3.70 eV/atom; density = 11.41 g cm⁻³; magnetic moment = 0.000 μB/atom
1.0
4.490 0.000 0.000
2.245 3.889 0.000
2.245 1.296 3.666
Tl F C
2 1 1
direct
0.750 0.750 0.750
0.250 0.250 0.250
0.500 0.500 0.500
0.000 0.000 0.000